Ag3H4Pd4: optimized geometry, PBE.

Cell: 10.3381 10.3381 10.3381 Å, 163.55 155.45 29.69°
Closest atoms and distances in Å follow each position.
Sites, in units of the cell vectors:
Ag  0.0000  0.0000  0.0000  6 Ag 2.96-3.28, 8 Pd 2.97, 4 H 3.19
Ag  0.1467  0.6467  0.5000  2 H 2.42
Ag  0.8533  0.3533  0.5000  2 H 2.42
H  0.2423  0.2423  0.0000  2 Pd 1.77
H  0.3846  0.8846  0.5000  3 Pd 1.77-1.87
H  0.6154  0.1154  0.5000  3 Pd 1.77-1.87
H  0.7577  0.7577  0.0000  2 Pd 1.77
Pd  0.2910  0.7910  0.5000  3 H 1.77-1.87
Pd  0.4333  0.4333  0.0000  2 H 1.77
Pd  0.5667  0.5667  0.0000  2 H 1.77
Pd  0.7090  0.2090  0.5000  3 H 1.77-1.87

DFT total energy (eV/atom): -3.9046

AgH2Pd2: optimized geometry, PBE.

Cell: 6.5494 5.5697 5.0182 Å, 76.23 55.69 48.09°
Closest atoms and distances in Å follow each position.
Sites, in units of the cell vectors:
Ag  0.1250  0.1250  0.1250  8 H 2.75-2.90, 10 Pd 2.88-2.95
Ag  0.8750  0.8750  0.8750  8 H 2.75-2.90, 10 Pd 2.88-2.95
H  0.2399  0.2399  0.5101  4 Pd 1.87-1.95
H  0.4899  0.4899  0.7601  4 Pd 1.87-1.95
H  0.5101  0.5101  0.2399  4 Pd 1.87-1.95
H  0.7601  0.7601  0.4899  4 Pd 1.87-1.95
Pd  0.2098  0.5402  0.2098  4 H 1.87-1.95
Pd  0.4598  0.7902  0.4598  4 H 1.87-1.95
Pd  0.5402  0.2098  0.5402  4 H 1.87-1.95
Pd  0.7902  0.4598  0.7902  4 H 1.87-1.95

DFT total energy (eV/atom): -4.0618
Energy above the lowest structure with this stoichiometry (eV per formula unit): 0.00

Ag2H3Pd2: optimized geometry, PBE.

Cell: 5.3237 5.3738 6.1293 Å, 90.00 119.92 90.00°
Closest atoms and distances in Å follow each position.
Sites, in units of the cell vectors:
Ag  0.1532  0.1377  0.3929  3 H 2.25-2.38
Ag  0.1532  0.3623  0.8929  3 H 2.25-2.38
Ag  0.8468  0.6377  0.1071  3 H 2.25-2.38
Ag  0.8468  0.8623  0.6071  3 H 2.25-2.38
H  0.0000  0.0000  0.0000  2 Pd 1.82
H  0.0000  0.5000  0.5000  2 Pd 1.82
H  0.3610  0.6088  0.3064  3 Pd 1.80-1.89
H  0.3610  0.8912  0.8064  3 Pd 1.80-1.89
H  0.6390  0.1088  0.1936  3 Pd 1.80-1.89
H  0.6390  0.3912  0.6936  3 Pd 1.80-1.89
Pd  0.3536  0.6411  0.6071  4 H 1.80-1.89
Pd  0.3536  0.8589  0.1071  4 H 1.80-1.89
Pd  0.6464  0.1411  0.8929  4 H 1.80-1.89
Pd  0.6464  0.3589  0.3929  4 H 1.80-1.89

DFT total energy (eV/atom): -3.7555

Ag2H2Pd5: optimized geometry, PBE.

Cell: 4.9759 5.0189 5.0374 Å, 98.49 100.31 100.22°
Closest atoms and distances in Å follow each position.
Sites, in units of the cell vectors:
Ag  0.0756  0.2867  0.1438  10 Pd 2.83-2.89, 2 Ag 2.89-2.93
Ag  0.9244  0.7133  0.8562  10 Pd 2.83-2.89, 2 Ag 2.89-2.93
H  0.4572  0.1226  0.6753  4 Pd 1.76-1.85
H  0.5428  0.8774  0.3247  4 Pd 1.76-1.85
Pd  0.2018  0.8520  0.4262  2 H 1.83-1.85
Pd  0.3544  0.4423  0.7163  1 H 1.76
Pd  0.5000  0.0000  0.0000  2 H 1.82
Pd  0.6456  0.5577  0.2837  1 H 1.76
Pd  0.7982  0.1480  0.5738  2 H 1.83-1.85

DFT total energy (eV/atom): -4.3377

AgH5Pd5: optimized geometry, PBE.

Cell: 2.9614 5.1247 7.4234 Å, 92.51 91.24 90.93°
Closest atoms and distances in Å follow each position.
Sites, in units of the cell vectors:
Ag  0.0000  0.0000  0.0000  2 H 1.98-1.99
H  0.4941  0.4663  0.2684  4 Pd 1.81-1.88
H  0.5004  0.8182  0.1209  2 Pd 1.72-1.83
H  0.5057  0.8206  0.6041  4 Pd 1.80-1.86
H  0.9865  0.4403  0.8754  3 Pd 1.81-1.83
H  0.9988  0.3095  0.5804  4 Pd 1.78-1.88
Pd  0.0044  0.6500  0.6842  4 H 1.82-1.88
Pd  0.4913  0.8144  0.3527  3 H 1.72-1.86
Pd  0.4992  0.4886  0.0163  4 H 1.81-1.88
Pd  0.5005  0.1584  0.6829  3 H 1.80-1.85
Pd  0.9934  0.2950  0.3407  3 H 1.78-1.81

DFT total energy (eV/atom): -4.2045

AgH2Pd3: optimized geometry, PBE.

Cell: 5.7671 5.7671 4.2650 Å, 90.00 90.00 90.16°
Closest atoms and distances in Å follow each position.
Sites, in units of the cell vectors:
Ag  0.1258  0.8742  0.7500  10 Pd 2.88-2.94, 2 Ag 2.96
Ag  0.8742  0.1258  0.2500  10 Pd 2.88-2.94, 2 Ag 2.96
H  0.3555  0.3555  0.0000  4 Pd 1.78-1.90
H  0.3555  0.3555  0.5000  4 Pd 1.78-1.90
H  0.6445  0.6445  0.0000  4 Pd 1.78-1.90
H  0.6445  0.6445  0.5000  4 Pd 1.78-1.90
Pd  0.1089  0.3745  0.7500  2 H 1.78
Pd  0.3733  0.6267  0.2500  4 H 1.90
Pd  0.3745  0.1089  0.2500  2 H 1.78
Pd  0.6255  0.8911  0.7500  2 H 1.78
Pd  0.6267  0.3733  0.7500  4 H 1.90
Pd  0.8911  0.6255  0.2500  2 H 1.78

DFT total energy (eV/atom): -4.2681
Energy above the lowest structure with this stoichiometry (eV per formula unit): 0.08